# 1
Material: AcCdGe
Method: DFT, PBE-GGA
State: relaxed

ρ in g/cm³: 7.5
Formation enthalpy at 0 K in meV/atom: -356
Polymorph energy (0 for the lowest one) in meV per atom: 160

Cell lengths 7.1556, 7.1556, 7.1556 Å; angles 90.00, 90.00, 90.00 degrees
Space group F-43m (No. 216)
One atom of each set of equivalent atoms:
1 Ac 0.0000 0.0000 0.0000 (multiplicity 4)
2 Cd 0.0000 0.0000 0.5000 (multiplicity 4)
3 Ge 0.2500 0.2500 0.7500 (multiplicity 4)

# 2
Material: Ac3Cd9Ge2
Method: DFT, PBE-GGA
State: relaxed

ρ in g/cm³: 8.3
Formation enthalpy at 0 K in meV/atom: -284

Cell lengths 4.9829, 10.7974, 13.6995 Å; angles 90.00, 90.00, 90.00 degrees
Space group Immm (No. 71)
One atom of each set of equivalent atoms:
1 Ac 0.0000 0.0000 0.0000 (multiplicity 2)
2 Ac 0.0000 0.0000 0.3115 (multiplicity 4)
3 Cd 0.0000 0.2762 0.1384 (multiplicity 8)
4 Cd 0.0000 0.3667 0.3440 (multiplicity 8)
5 Cd 0.0000 0.5000 0.0000 (multiplicity 2)
6 Ge 0.0000 0.1964 0.5000 (multiplicity 4)

# 3
Material: Ac2CdGe3
Method: DFT, PBE-GGA
State: relaxed

ρ in g/cm³: 8.0
Formation enthalpy at 0 K in meV/atom: -596
Polymorph energy (0 for the lowest one) in meV per atom: 0

Cell lengths 4.6124, 4.6528, 15.1887 Å; angles 90.00, 90.00, 90.00 degrees
Space group Imm2 (No. 44)
One atom of each set of equivalent atoms:
1 Ac 0.0000 0.0000 0.0000 (multiplicity 2)
2 Ac 0.0000 0.5000 0.2384 (multiplicity 2)
3 Cd 0.0000 0.0000 0.4100 (multiplicity 2)
4 Ge 0.0000 0.0000 0.5826 (multiplicity 2)
5 Ge 0.0000 0.5000 0.6586 (multiplicity 2)
6 Ge 0.0000 0.5000 0.8234 (multiplicity 2)

# 4
Material: Ac6CdGe2
Method: DFT, PBE-GGA
State: relaxed

ρ in g/cm³: 8.2
Formation enthalpy at 0 K in meV/atom: -398
Polymorph energy (0 for the lowest one) in meV per atom: 0

Cell lengths 10.6954, 10.9289, 11.2404 Å; angles 90.00, 90.00, 90.00 degrees
Space group Immm (No. 71)
One atom of each set of equivalent atoms:
1 Ac 0.0000 0.1963 0.2493 (multiplicity 8)
2 Ac 0.1974 0.5000 0.1709 (multiplicity 8)
3 Ac 0.2273 0.3253 0.5000 (multiplicity 8)
4 Cd 0.0000 0.0000 0.0000 (multiplicity 2)
5 Cd 0.0000 0.0000 0.5000 (multiplicity 2)
6 Ge 0.0000 0.3420 0.0000 (multiplicity 4)
7 Ge 0.0000 0.5000 0.3853 (multiplicity 4)

# 5
Material: Ac3Cd2Ge3
Method: DFT, PBE-GGA
State: relaxed

ρ in g/cm³: 7.6
Formation enthalpy at 0 K in meV/atom: -457
Polymorph energy (0 for the lowest one) in meV per atom: 0

Cell lengths 9.3004, 9.3004, 6.5441 Å; angles 90.00, 90.00, 120.00 degrees
Space group P6_3/mcm (No. 193)
One atom of each set of equivalent atoms:
1 Ac 0.0000 0.3105 0.2500 (multiplicity 6)
2 Cd 0.3333 0.6667 0.0000 (multiplicity 4)
3 Ge 0.0000 0.3575 0.7500 (multiplicity 6)

# 6
Material: AcHoCdGe
Method: DFT, PBE-GGA
State: relaxed

ρ in g/cm³: 8.6
Formation enthalpy at 0 K in meV/atom: -389

Cell lengths 7.6260, 7.6260, 7.6260 Å; angles 90.00, 90.00, 90.00 degrees
Space group F-43m (No. 216)
One atom of each set of equivalent atoms:
1 Ac 0.0000 0.0000 0.0000 (multiplicity 4)
2 Ho 0.0000 0.0000 0.5000 (multiplicity 4)
3 Cd 0.2500 0.2500 0.2500 (multiplicity 4)
4 Ge 0.2500 0.2500 0.7500 (multiplicity 4)